# 1
Density functional theory data (PBE-GGA) for crystalline Ho2BiN at its relaxed geometry. Values from VASP.

```
&SYSTEM
  ibrav = 0, nat = 4, ntyp = 3
/
ATOMIC_SPECIES
Bi 208.98 Bi.upf
Ho 164.93 Ho.upf
N 14.01 N.upf
CELL_PARAMETERS angstrom
3.5866 0.0000 0.0000
1.7933 3.1061 0.0000
1.7933 1.0354 7.6311
ATOMIC_POSITIONS angstrom
Bi 3.5866 2.0707 3.8156
Ho 5.3799 3.1061 6.3642
N 0.0000 0.0000 0.0000
Ho 1.7933 1.0354 1.2669
```

## Properties
V: 21.25 Å³ per atom
Final energy: -6.442 eV/atom

***

# 2
Density functional theory data (PBE-GGA) for crystalline Ho2BiN at its relaxed geometry. Values from VASP.

```
&SYSTEM
  ibrav = 0, nat = 8, ntyp = 3
/
ATOMIC_SPECIES
N 14.01 N.upf
Bi 208.98 Bi.upf
Ho 164.93 Ho.upf
CELL_PARAMETERS angstrom
-2.6549 -1.4581 3.3837
3.6829 -0.9280 2.4898
-0.2157 8.3639 3.4302
ATOMIC_POSITIONS angstrom
N 0.6470 3.0188 6.3776
Bi 0.7306 -0.2355 5.0403
N 0.1652 2.9590 2.9261
Bi 0.0817 6.2133 4.2635
Ho -1.1783 2.8564 4.8753
Ho 0.2172 0.9323 2.0931
Ho 0.5950 5.0455 7.2106
Ho 1.9905 3.1214 4.4284
```

## Properties
V: 23.31 Å³ per atom
Final energy: -6.612 eV/atom

***

# 3
Density functional theory data (PBE-GGA) for crystalline Ho2BiN at its relaxed geometry. Values from VASP.

```
&SYSTEM
  ibrav = 0, nat = 4, ntyp = 3
/
ATOMIC_SPECIES
N 14.01 N.upf
Ho 164.93 Ho.upf
Bi 208.98 Bi.upf
CELL_PARAMETERS angstrom
3.2064 0.0000 0.0000
0.0000 3.2064 0.0000
0.0000 0.0000 7.8011
ATOMIC_POSITIONS angstrom
N 1.6032 1.6032 0.0000
Ho 0.0000 0.0000 6.3759
Bi 1.6032 1.6032 3.9005
Ho 0.0000 0.0000 1.4252
```

## Properties
V: 20.05 Å³ per atom
Final energy: -5.802 eV/atom

***

Number 1: D(E_F) 0.698 states/eV/atom, energy above the lowest structure with this stoichiometry 0.679 eV per formula unit, raw formation energy -1101 meV per atom. Number 2: D(E_F) 0.124 states/eV/atom, energy above the lowest structure with this stoichiometry 0.000 eV per formula unit, raw formation energy -1271 meV per atom. Number 3: D(E_F) 0.530 states/eV/atom, energy above the lowest structure with this stoichiometry 3.239 eV per formula unit, raw formation energy -461 meV per atom.